No. 1
A plane-wave DFT calculation with GGA-PBE was carried out for an optimized crystal structure of Cs2RbMoBr8.

**Uncorrected formation energy**: -1066 meV/atom
**Spin magnetization**: 1.6 μB per formula unit

Cell: 6.3590 7.9209 10.8994 Å, 89.99 90.01 105.28°
Closest atoms and distances in Å follow each position.
Fractional positions:
Cs 0.5003 0.4998 0.7522  4 Br 3.50-3.68
Cs 0.4997 0.5002 0.2478  4 Br 3.50-3.68
Rb 0.0000 0.0000 0.5000  4 Br 3.50-3.84
Mo 0.0000 0.0000 0.0000  6 Br 2.50-2.55
Br 0.0811 0.8002 0.1665  1 Mo 2.55
Br 0.6095 0.8272 0.9998  1 Mo 2.50
Br 0.9186 0.1993 0.1667  1 Mo 2.55
Br 0.9189 0.1998 0.8335  1 Mo 2.55
Br 0.3905 0.1728 0.0002  1 Mo 2.50
Br 0.0814 0.8007 0.8333  1 Mo 2.55
Br 0.4518 0.7608 0.5001  2 Cs 3.50, 2 Rb 3.50-3.84, 1 Br 3.68
Br 0.5482 0.2392 0.4999  2 Cs 3.50, 2 Rb 3.50-3.84, 1 Br 3.68


No. 2
A plane-wave DFT calculation with GGA-PBE was carried out for an optimized crystal structure of Cs2RbMoBr6.

**Uncorrected formation energy**: -1283 meV/atom
**Spin magnetization**: 3.0 μB per formula unit

Cell: 8.3071 8.3071 8.3071 Å, 60.00 60.00 90.00°
Closest atoms and distances in Å follow each position.
Fractional positions:
Cs 0.7500 0.2500 0.5000  12 Br 4.17
Cs 0.2500 0.7500 0.5000  12 Br 4.17
Mo 0.0000 0.0000 0.0000  6 Br 2.61
Br 0.2224 0.2224 0.5552  1 Mo 2.61
Br 0.7776 0.7776 0.4448  1 Mo 2.61
Br 0.2224 0.2224 0.0000  1 Mo 2.61
Br 0.7776 0.7776 0.0000  1 Mo 2.61
Br 0.7776 0.2224 0.0000  1 Mo 2.61
Br 0.2224 0.7776 0.0000  1 Mo 2.61
Rb 0.5000 0.5000 0.0000  6 Br 3.26


No. 3
A plane-wave DFT calculation with GGA-PBE was carried out for an optimized crystal structure of CsRb2MoBr6.

**Uncorrected formation energy**: -1214 meV/atom
**Spin magnetization**: 3.0 μB per formula unit

Cell: 8.4424 8.4424 8.4424 Å, 60.00 60.00 90.00°
Closest atoms and distances in Å follow each position.
Fractional positions:
Cs 0.0000 0.0000 0.0000  6 Br 3.36
Mo 0.5000 0.5000 0.0000  6 Br 2.61
Br 0.2817 0.2817 0.4366  1 Mo 2.61
Br 0.7183 0.7183 0.5634  1 Mo 2.61
Br 0.2817 0.2817 0.0000  1 Mo 2.61
Br 0.7183 0.7183 0.0000  1 Mo 2.61
Br 0.7183 0.2817 0.0000  1 Mo 2.61
Br 0.2817 0.7183 0.0000  1 Mo 2.61
Rb 0.7500 0.2500 0.5000  12 Br 4.24
Rb 0.2500 0.7500 0.5000  12 Br 4.24


no.,N(E_F) (states/eV/cell)
1,10.10
2,0.00
3,0.00